# 1
Pr2SmErTe5 | PBE-GGA | optimized geometry

Fermi-level density of states: 4.65 states/eV/f.u.
uncorrected energy: -4.599 eV/atom

Cell lengths 5.6450, 5.6450, 11.5925 Å; angles 90.00, 90.00, 90.00 degrees
Last column: nearest neighbours and their distance in Å.
Fractional positions:
1 Te 0.0000 0.0000 0.7579  1 Er 2.81, 1 Sm 2.99
2 Pr 0.5000 0.5000 0.3375  4 Te 3.39, 1 Pr 3.77
3 Te 0.0000 0.5000 0.5000  2 Sm 2.82
4 Te 0.0000 0.0000 0.2421  1 Er 2.81, 1 Sm 2.99
5 Te 0.5000 0.0000 0.5000  2 Sm 2.82
6 Te 0.5000 0.5000 0.0000  2 Pr 3.91, 4 Er 3.99
7 Pr 0.5000 0.5000 0.6625  4 Te 3.39, 1 Pr 3.77
8 Sm 0.0000 0.0000 0.5000  6 Te 2.82-2.99
9 Er 0.0000 0.0000 0.0000  2 Te 2.81

=====

# 2
AcMn2PN2 | PBE-GGA | optimized geometry

Fermi-level density of states: 2.63 states/eV/f.u.
uncorrected energy: -8.180 eV/atom

Cell lengths 4.7826, 6.1442, 6.9776 Å; angles 110.16, 90.00, 90.00 degrees
Last column: nearest neighbours and their distance in Å.
Fractional positions:
1 N 0.2500 0.6336 0.7002  2 Mn 1.79
2 N 0.2500 0.1180 0.3786  2 Mn 1.79
3 Mn 0.9997 0.8602 0.8052  2 N 1.79
4 P 0.2500 0.1939 0.9372  4 Mn 2.28
5 Mn 0.5003 0.8602 0.8052  2 N 1.79
6 Mn 0.0003 0.1398 0.1948  2 N 1.79
7 Mn 0.4997 0.1398 0.1948  2 N 1.79
8 Ac 0.2500 0.6807 0.3364  2 N 2.60-2.65
9 N 0.7500 0.3664 0.2998  2 Mn 1.79
10 N 0.7500 0.8820 0.6214  2 Mn 1.79
11 P 0.7500 0.8061 0.0628  4 Mn 2.28
12 Ac 0.7500 0.3193 0.6636  2 N 2.60-2.65

=====

# 3
InMo2As | PBE-GGA | optimized geometry

ΔH_f (0 K): 169 meV per atom
Fermi-level density of states: 1.77 states/eV/f.u.
offset from the most stable computed form: 0.543 eV/f.u.
uncorrected energy: -7.093 eV/atom

Cell lengths 9.0737, 9.0737, 9.0737 Å; angles 19.58, 19.58, 19.58 degrees
Last column: nearest neighbours and their distance in Å.
Fractional positions:
1 Mo 0.2504 0.2504 0.2504  3 As 2.61, 3 Mo 2.67
2 In 0.7460 0.7460 0.7460  3 Mo 2.94, 6 In 3.09, 3 As 3.20
3 Mo 0.9915 0.9915 0.9915  3 Mo 2.67, 3 In 2.94
4 As 0.5121 0.5121 0.5121  3 Mo 2.61

=====

# 4
TlMoRu3 | PBE-GGA | optimized geometry

ΔH_f (0 K): 2749 meV per atom
Fermi-level density of states: 9.70 states/eV/f.u.
offset from the most stable computed form: 6.523 eV/f.u.
uncorrected energy: -5.455 eV/atom

Cell lengths 4.8003, 4.8003, 4.8003 Å; angles 90.00, 90.00, 90.00 degrees
Last column: nearest neighbours and their distance in Å.
Fractional positions:
1 Ru 0.0000 0.5000 0.0000  2 Tl 2.40
2 Ru 0.5000 0.0000 0.0000  2 Tl 2.40
3 Tl 0.0000 0.0000 0.0000  6 Ru 2.40
4 Ru 0.0000 0.0000 0.5000  2 Tl 2.40
5 Mo 0.5000 0.5000 0.5000  12 Ru 3.39

=====

# 5
Tb4AlOs | PBE-GGA | optimized geometry

ΔH_f (0 K): -261 meV per atom
Fermi-level density of states: 6.08 states/eV/f.u.
offset from the most stable computed form: 0.186 eV/f.u.
uncorrected energy: -5.843 eV/atom

Cell lengths 6.1156, 8.8895, 7.8073 Å; angles 114.68, 99.85, 112.80 degrees
Last column: nearest neighbours and their distance in Å.
Fractional positions:
1 Al 0.3744 0.6244 0.2488  8 Tb 3.14-3.35
2 Tb 0.8989 0.7890 0.1486  2 Os 2.91-3.01, 1 Al 3.14
3 Tb 0.3898 0.9380 0.6577  2 Os 2.84-2.86
4 Tb 0.2321 0.2803 0.3423  2 Os 2.84-2.86
5 Al 0.6256 0.3756 0.7512  8 Tb 3.14-3.35
6 Tb 0.1011 0.2110 0.8514  2 Os 2.91-3.01, 1 Al 3.14
7 Os 0.2493 0.9993 0.9987  8 Tb 2.84-3.01, 2 Os 3.06
8 Os 0.7507 0.0007 0.0013  8 Tb 2.84-3.01, 2 Os 3.06
9 Tb 0.7496 0.3595 0.1486  2 Os 2.91-3.01, 1 Al 3.14
10 Tb 0.6102 0.0620 0.3423  2 Os 2.84-2.86
11 Tb 0.7679 0.7197 0.6577  2 Os 2.84-2.86
12 Tb 0.2504 0.6405 0.8514  2 Os 2.91-3.01, 1 Al 3.14

=====

# 6
Hf2InHRh | PBE-GGA | optimized geometry

Fermi-level density of states: 4.04 states/eV/f.u.
offset from the most stable computed form: 0.000 eV/f.u.
uncorrected energy: -7.035 eV/atom

Cell lengths 4.3927, 4.3927, 4.0843 Å; angles 90.00, 90.00, 90.00 degrees
Last column: nearest neighbours and their distance in Å.
Fractional positions:
1 Rh 0.0000 0.0000 0.5000  2 H 2.04
2 H 0.0000 0.0000 0.0000  2 Rh 2.04, 4 Hf 2.20
3 Hf 0.5000 0.0000 0.0000  2 H 2.20
4 Hf 0.0000 0.5000 0.0000  2 H 2.20
5 In 0.5000 0.5000 0.5000  8 Hf 3.00, 4 Rh 3.11

=====

# 7
YBe2Os | PBE-GGA | optimized geometry

ΔH_f (0 K): -117 meV per atom
Fermi-level density of states: 2.00 states/eV/f.u.
offset from the most stable computed form: 0.404 eV/f.u.
uncorrected energy: -6.404 eV/atom

Cell lengths 3.0973, 3.0972, 5.9918 Å; angles 90.00, 90.00, 90.00 degrees
Last column: nearest neighbours and their distance in Å.
Fractional positions:
1 Os 0.5000 0.5000 0.2500  8 Be 2.42
2 Be 0.0000 0.0000 0.4215  1 Be 2.06
3 Be 0.0000 0.0000 0.0785  1 Be 2.06
4 Y 0.5000 0.5000 0.7500  8 Be 2.94, 2 Os 3.00, 4 Y 3.10

=====

# 8
SrLiIn2Pb | PBE-GGA | optimized geometry

ΔH_f (0 K): -197 meV per atom
Fermi-level density of states: 1.83 states/eV/f.u.
uncorrected energy: -2.754 eV/atom

Cell lengths 5.2069, 5.2069, 5.2582 Å; angles 90.00, 90.00, 90.00 degrees
Last column: nearest neighbours and their distance in Å.
Fractional positions:
1 Pb 0.0000 0.0000 0.5000  2 Li 2.63
2 Sr 0.5000 0.5000 0.5000  4 Pb 3.68, 8 In 3.70
3 Li 0.0000 0.0000 0.0000  4 In 2.60, 2 Pb 2.63
4 In 0.5000 0.0000 0.0000  2 Li 2.60
5 In 0.0000 0.5000 0.0000  2 Li 2.60

=====

# 9
PmFe3Ge3 | PBE-GGA | optimized geometry

ΔH_f (0 K): 168 meV per atom
Fermi-level density of states: 6.31 states/eV/f.u.
offset from the most stable computed form: 3.011 eV/f.u.
uncorrected energy: -6.116 eV/atom

Cell lengths 6.4849, 6.4849, 6.4849 Å; angles 90.00, 90.00, 90.00 degrees
Last column: nearest neighbours and their distance in Å.
Fractional positions:
1 Ge 0.2500 0.5000 0.0000  4 Fe 2.29
2 Fe 0.5000 0.7500 0.0000  4 Ge 2.29
3 Ge 0.5000 0.0000 0.2500  4 Fe 2.29
4 Fe 0.5000 0.2500 0.0000  4 Ge 2.29
5 Ge 0.7500 0.5000 0.0000  4 Fe 2.29
6 Fe 0.0000 0.5000 0.7500  4 Ge 2.29
7 Pm 0.0000 0.0000 0.0000  12 Fe 3.63, 12 Ge 3.63
8 Ge 0.0000 0.7500 0.5000  4 Fe 2.29
9 Fe 0.2500 0.0000 0.5000  4 Ge 2.29
10 Pm 0.5000 0.5000 0.5000  12 Ge 3.63, 12 Fe 3.63
11 Fe 0.0000 0.5000 0.2500  4 Ge 2.29
12 Ge 0.5000 0.0000 0.7500  4 Fe 2.29
13 Ge 0.0000 0.2500 0.5000  4 Fe 2.29
14 Fe 0.7500 0.0000 0.5000  4 Ge 2.29

=====

# 10
Cr2NiAg | PBE-GGA | optimized geometry

ΔH_f (0 K): 577 meV per atom
Fermi-level density of states: 8.66 states/eV/f.u.
offset from the most stable computed form: 1.172 eV/f.u.
uncorrected energy: -6.393 eV/atom

Cell lengths 4.3711, 4.3711, 4.3711 Å; angles 60.00, 60.00, 60.00 degrees
Last column: nearest neighbours and their distance in Å.
Fractional positions:
1 Cr 0.2500 0.2500 0.2500  4 Ag 2.68, 4 Ni 2.68
2 Cr 0.7500 0.7500 0.7500  4 Ni 2.68, 4 Ag 2.68
3 Ag 0.5000 0.5000 0.5000  8 Cr 2.68
4 Ni 0.0000 0.0000 0.0000  8 Cr 2.68

=====

# 11
Cs2Tl4Pt | PBE-GGA | optimized geometry

ΔH_f (0 K): -46 meV per atom
Fermi-level density of states: 5.62 states/eV/f.u.
uncorrected energy: -2.505 eV/atom

Cell lengths 5.3982, 5.3982, 10.9782 Å; angles 75.77, 75.77, 90.00 degrees
Last column: nearest neighbours and their distance in Å.
Fractional positions:
1 Tl 0.1359 0.1359 0.7283  1 Pt 2.80
2 Tl 0.0000 0.5000 0.0000  2 Pt 2.70
3 Cs 0.6653 0.6653 0.6694  5 Tl 3.86-4.09
4 Cs 0.3347 0.3347 0.3306  5 Tl 3.86-4.09
5 Pt 0.0000 0.0000 0.0000  6 Tl 2.70-2.80
6 Tl 0.8641 0.8641 0.2717  1 Pt 2.80
7 Tl 0.5000 0.0000 0.0000  2 Pt 2.70

=====

# 12
Cu2Re | PBE-GGA | optimized geometry

ΔH_f (0 K): 201 meV per atom
Fermi-level density of states: 1.41 states/eV/f.u.
offset from the most stable computed form: 0.040 eV/f.u.
uncorrected energy: -6.679 eV/atom

Cell lengths 7.0591, 7.0591, 4.3331 Å; angles 90.00, 90.00, 158.64 degrees
Last column: nearest neighbours and their distance in Å.
Fractional positions:
1 Cu 0.8790 0.1210 0.2500  6 Cu 2.56-2.62, 6 Re 2.71-2.72
2 Cu 0.7800 0.2200 0.7500  10 Cu 2.56-2.66, 2 Re 2.68
3 Re 0.5511 0.4489 0.2500  4 Re 2.59-2.62, 8 Cu 2.68-2.72
4 Cu 0.2200 0.7800 0.2500  10 Cu 2.56-2.66, 2 Re 2.68
5 Re 0.4489 0.5511 0.7500  4 Re 2.59-2.62, 8 Cu 2.68-2.72
6 Cu 0.1210 0.8790 0.7500  6 Cu 2.56-2.62, 6 Re 2.71-2.72